Entry from the Alexandria database: a relaxed structure of Li2NpTc3N6 (PBE-GGA).

```
data_Li2NpTc3N6
_space_group_name_H-M_alt 'P 1'
_space_group_IT_number 1
_cell_length_a 5.227
_cell_length_b 5.227
_cell_length_c 5.443
_cell_angle_alpha 98.45
_cell_angle_beta 98.45
_cell_angle_gamma 120.50
loop_
_space_group_symop_operation_xyz
'x,y,z'
loop_
_atom_site_label
_atom_site_type_symbol
_atom_site_fract_x
_atom_site_fract_y
_atom_site_fract_z
Li1 Li 0.165 0.835 0.000
Li2 Li 0.835 0.165 0.000
Np1 Np 0.500 0.500 0.000
Tc1 Tc 0.000 0.000 0.500
Tc2 Tc 0.312 0.688 0.500
Tc3 Tc 0.688 0.312 0.500
N1 N 0.079 0.410 0.748
N2 N 0.271 0.271 0.276
N3 N 0.410 0.079 0.748
N4 N 0.590 0.921 0.252
N5 N 0.729 0.729 0.724
N6 N 0.921 0.590 0.252
```

Properties
ΔE_f (raw): -5.62 eV per formula unit
magnetization: 0.7 μB per cell